<a>
Here is a geometry-optimized Nd2Sm8Ho structure from Alexandria via LeMat-Bulk. Energies are from PBE.

Results
The calculated volume is 34.4 Å³ per atom. The spin magnetization is 0.00 μB per formula unit.

a b c (Å): 9.0314 9.0314 6.7776
angles (deg): 99.82 99.82 44.21
With the nearest neighbours (Å) after each atom.
Positions (direct):
1 Nd 0.1969 0.1969 0.3024  7 Sm 3.39-3.74, 1 Ho 3.78
2 Nd 0.8031 0.8031 0.6976  7 Sm 3.39-3.74, 1 Ho 3.78
3 Sm 0.1755 0.6500 0.0966  5 Sm 3.23-3.57, 1 Ho 3.37, 1 Nd 3.47
4 Sm 0.2438 0.2438 0.8110  5 Sm 3.32-3.51, 4 Nd 3.39-3.66
5 Sm 0.3500 0.8245 0.9034  5 Sm 3.23-3.57, 1 Ho 3.37, 1 Nd 3.47
6 Sm 0.4101 0.4101 0.5890  8 Sm 3.40-3.79, 1 Nd 3.74
7 Sm 0.5899 0.5899 0.4110  8 Sm 3.40-3.79, 1 Nd 3.74
8 Sm 0.6500 0.1755 0.0966  5 Sm 3.23-3.57, 1 Ho 3.37, 1 Nd 3.47
9 Sm 0.7562 0.7562 0.1890  5 Sm 3.32-3.51, 4 Nd 3.39-3.66
10 Sm 0.8245 0.3500 0.9034  5 Sm 3.23-3.57, 1 Ho 3.37, 1 Nd 3.47
11 Ho 0.0000 0.0000 0.5000  4 Sm 3.37

=====

<b>
Here is a geometry-optimized Nd2Sm8Ho structure from Alexandria via LeMat-Bulk. Energies are from PBE.

Results
The calculated volume is 33.8 Å³ per atom. The spin magnetization is 0.00 μB per formula unit.

a b c (Å): 9.5900 9.5900 8.1190
angles (deg): 104.71 104.71 31.03
With the nearest neighbours (Å) after each atom.
Positions (direct):
1 Nd 0.2268 0.2268 0.1368  10 Sm 3.63-3.65, 2 Nd 3.64
2 Nd 0.7732 0.7732 0.8632  10 Sm 3.63-3.65, 2 Nd 3.64
3 Sm 0.0450 0.0450 0.2285  9 Sm 3.60-3.64, 2 Ho 3.62, 1 Nd 3.63
4 Sm 0.1354 0.1354 0.6794  7 Sm 3.60-3.65, 2 Ho 3.61, 3 Nd 3.65
5 Sm 0.3189 0.3189 0.5909  1 Ho 3.61, 8 Sm 3.62-3.65, 3 Nd 3.63
6 Sm 0.4100 0.4100 0.0477  8 Sm 3.61-3.65, 1 Ho 3.61, 3 Nd 3.64
7 Sm 0.5900 0.5900 0.9523  8 Sm 3.61-3.65, 1 Ho 3.61, 3 Nd 3.64
8 Sm 0.6811 0.6811 0.4091  1 Ho 3.61, 8 Sm 3.62-3.65, 3 Nd 3.63
9 Sm 0.8646 0.8646 0.3206  7 Sm 3.60-3.65, 2 Ho 3.61, 3 Nd 3.65
10 Sm 0.9550 0.9550 0.7715  9 Sm 3.60-3.64, 2 Ho 3.62, 1 Nd 3.63
11 Ho 0.5000 0.5000 0.5000  12 Sm 3.61-3.62

=====

Need the numbers? Relative energies in meV per atom: <a> 140; <b> 0.